# CeEr3Ag2

A relaxed CeEr3Ag2 crystal (GGA-PBE, Alexandria).

Lattice parameters (Å, degrees): 3.5766 3.5766 12.0832 90.00 90.00 90.00
Last column: nearest neighbours and their distance in Å.
Space group P4/mmm (No. 123)
Asymmetric unit:
Ce: 0.0000 0.0000 0.0000  8 Er 3.50, 4 Ce 3.58
Er: 0.5000 0.5000 0.1999  4 Ag 3.10
Er: 0.5000 0.5000 0.5000  8 Ag 3.12
Ag: 0.0000 0.0000 0.3486  8 Er 3.10-3.12

Summary:
D(E_F): 7.9 states/eV/cell
ΔH_f (0 K): -0.179 eV per atom
Total energy: -4.40 eV per atom

---

# CeEr4Ag5

A relaxed CeEr4Ag5 crystal (GGA-PBE, Alexandria).

Lattice parameters (Å, degrees): 3.5835 3.5835 18.6116 90.00 90.00 90.00
Last column: nearest neighbours and their distance in Å.
Space group P4/mmm (No. 123)
Asymmetric unit:
Ce: 0.0000 0.0000 0.0000  8 Ag 3.29, 4 Ce 3.58
Er: 0.0000 0.0000 0.2058  8 Ag 3.07-3.12
Er: 0.0000 0.0000 0.4018  8 Ag 3.12
Ag: 0.5000 0.5000 0.1126  4 Er 3.07, 4 Ce 3.29
Ag: 0.5000 0.5000 0.3039  8 Er 3.12
Ag: 0.5000 0.5000 0.5000  8 Er 3.12

Summary:
D(E_F): 10.5 states/eV/cell
ΔH_f (0 K): -0.281 eV per atom
Total energy: -4.12 eV per atom

---

# Ce2ErAg

A relaxed Ce2ErAg crystal (GGA-PBE, Alexandria).

Lattice parameters (Å, degrees): 5.6281 5.6281 3.4756 90.00 90.00 90.00
Last column: nearest neighbours and their distance in Å.
Space group P4/mmm (No. 123)
Asymmetric unit:
Ce: 0.0000 0.5000 0.0000  4 Ag 3.31, 4 Er 3.31, 2 Ce 3.48
Er: 0.0000 0.0000 0.5000  8 Ce 3.31, 2 Er 3.48
Ag: 0.5000 0.5000 0.5000  8 Ce 3.31, 2 Ag 3.48

Summary:
D(E_F): 12.2 states/eV/cell
ΔH_f (0 K): 0.112 eV per atom
Total energy: -4.71 eV per atom

---

# CeErAg2

A relaxed CeErAg2 crystal (GGA-PBE, Alexandria).

Lattice parameters (Å, degrees): 3.5782 3.5782 7.6679 90.00 90.00 90.00
Last column: nearest neighbours and their distance in Å.
Space group P4/mmm (No. 123)
Asymmetric unit:
Ce: 0.0000 0.0000 0.0000  8 Ag 3.29, 4 Ce 3.58
Er: 0.0000 0.0000 0.5000  8 Ag 3.07
Ag: 0.5000 0.5000 0.2735  4 Er 3.07, 4 Ce 3.29

Summary:
D(E_F): 7.8 states/eV/cell
ΔH_f (0 K): -0.198 eV per atom
Total energy: -4.25 eV per atom

---

# CeEr2Ag3

A relaxed CeEr2Ag3 crystal (GGA-PBE, Alexandria).

Lattice parameters (Å, degrees): 3.5912 3.5912 11.2547 90.00 90.00 90.00
Last column: nearest neighbours and their distance in Å.
Space group P4/mmm (No. 123)
Asymmetric unit:
Ce: 0.0000 0.0000 0.0000  8 Ag 3.29, 4 Ce 3.59
Er: 0.0000 0.0000 0.3387  8 Ag 3.07-3.12
Ag: 0.5000 0.5000 0.1852  4 Er 3.07, 4 Ce 3.29
Ag: 0.5000 0.5000 0.5000  8 Er 3.12

Summary:
D(E_F): 9.1 states/eV/cell
ΔH_f (0 K): -0.243 eV per atom
Total energy: -4.18 eV per atom

---

# Ce2ErAg6

A relaxed Ce2ErAg6 crystal (GGA-PBE, Alexandria).

Lattice parameters (Å, degrees): 8.4747 8.4747 3.2167 90.00 90.00 120.00
Last column: nearest neighbours and their distance in Å.
Space group P6/mmm (No. 191)
Asymmetric unit:
Ce: 0.3333 0.6667 0.0000  2 Ce 3.22, 12 Ag 3.26
Er: 0.0000 0.0000 0.0000  2 Er 3.22, 12 Ag 3.23
Ag: 0.0000 0.3300 0.5000  3 Ag 2.80-2.88

Summary:
D(E_F): 15.0 states/eV/cell
ΔH_f (0 K): -0.183 eV per atom
Total energy: -3.91 eV per atom

---

# CeErGaAg

A relaxed CeErGaAg crystal (GGA-PBE, Alexandria).

Lattice parameters (Å, degrees): 7.2949 7.2949 7.2949 90.00 90.00 90.00
Last column: nearest neighbours and their distance in Å.
Space group F-43m (No. 216)
Asymmetric unit:
Ce: 0.0000 0.0000 0.0000  4 Ag 3.16, 4 Ga 3.16
Er: 0.0000 0.0000 0.5000  4 Ga 3.16, 4 Ag 3.16
Ga: 0.2500 0.2500 0.2500  4 Ce 3.16, 4 Er 3.16
Ag: 0.2500 0.2500 0.7500  4 Ce 3.16, 4 Er 3.16

Summary:
D(E_F): 38.2 states/eV/cell
ΔH_f (0 K): -0.339 eV per atom
Total energy: -4.43 eV per atom

---

# CeGdErAg

A relaxed CeGdErAg crystal (GGA-PBE, Alexandria).

Lattice parameters (Å, degrees): 7.5164 7.5164 7.5164 90.00 90.00 90.00
Last column: nearest neighbours and their distance in Å.
Space group F-43m (No. 216)
Asymmetric unit:
Ce: 0.0000 0.0000 0.0000  4 Gd 3.25, 4 Er 3.25
Gd: 0.2500 0.2500 0.2500  4 Ag 3.25, 4 Ce 3.25
Er: 0.2500 0.2500 0.7500  4 Ce 3.25, 4 Ag 3.25
Ag: 0.0000 0.0000 0.5000  4 Er 3.25, 4 Gd 3.25

Summary:
D(E_F): 29.3 states/eV/cell
ΔH_f (0 K): 0.107 eV per atom
Total energy: -6.75 eV per atom

---

- ΔH_f (0 K) of number 2 (CeEr4Ag5)?
  -0.281 eV per atom

---

- Number 3 is which compound?
  Ce2ErAg

---

- Number 7 is which compound?
  CeErGaAg